Rb2NbI5: relaxed, PBE-GGA.

a b c (Å): 8.8090 8.8088 8.0399
angles (deg): 123.23 123.23 89.99
Last column: magnetic moment on the atom in μB.
Fractional coordinates of all 8 atoms:
I 0.2421 0.7938 0.0358  0.00
Rb 0.7670 0.2670 0.5340  0.00
I 0.7050 0.7050 0.4100  -0.01
I 0.7938 0.2421 0.0358  0.00
Rb 0.2670 0.7670 0.5340  0.00
Nb 0.9667 0.9667 0.9335  1.62
I 0.2419 0.2419 0.0354  0.00
I 0.7936 0.7936 0.0355  0.00

Computed properties:
N(E_F)   7.519 states/eV per cell
Space-group type   No. 107
ΔE_f (raw)   -0.87 eV per atom
Mass density   3.8 g cm⁻³
Volume   394 Å³ per cell

Rb3NbI8: relaxed, PBE-GGA.

a b c (Å): 9.9376 11.2150 11.2150
angles (deg): 120.00 90.00 90.00
Fractional coordinates of all 24 atoms:
I 0.0081 0.4691 0.9382
I 0.7872 0.7807 0.5614
Rb 0.6990 0.1474 0.8526
I 0.9530 0.0000 0.0000
I 0.2872 0.5614 0.7807
I 0.5081 0.9382 0.4691
Rb 0.1990 0.2948 0.1474
Nb 0.0790 0.3333 0.6667
I 0.2872 0.2193 0.7807
I 0.7581 0.3333 0.6667
I 0.5081 0.5309 0.0618
I 0.2872 0.2193 0.4386
Rb 0.1990 0.8526 0.7052
I 0.5081 0.5309 0.4691
Rb 0.6990 0.1474 0.2948
I 0.0081 0.4691 0.5309
Rb 0.1990 0.8526 0.1474
Nb 0.5790 0.6667 0.3333
I 0.4530 0.0000 0.0000
I 0.0081 0.0618 0.5309
Rb 0.6990 0.7052 0.8526
I 0.7872 0.7807 0.2193
I 0.7872 0.4386 0.2193
I 0.2581 0.6667 0.3333

Computed properties:
Space-group type   No. 186
ΔE_f (raw)   -0.87 eV per atom
Mass density   4.2 g cm⁻³
Volume   1082 Å³ per cell

RbNbI2: relaxed, PBE-GGA.

a b c (Å): 6.9908 6.9908 9.5863
angles (deg): 68.62 68.62 90.00
Last column: magnetic moment on the atom in μB.
Fractional coordinates of all 8 atoms:
Nb 0.0000 0.0000 0.0000  2.81
Nb 0.7500 0.2500 0.5000  2.82
I 0.0334 0.6250 0.2500  0.00
I 0.7166 0.1250 0.2500  0.00
Rb 0.2500 0.7500 0.5000  0.01
I 0.8750 0.9666 0.7500  0.00
I 0.3750 0.2834 0.7500  0.01
Rb 0.5000 0.5000 0.0000  0.01

Computed properties:
N(E_F)   3.072 states/eV per cell
Space-group type   No. 122
ΔE_f (raw)   -0.03 eV per atom
Energy relative to the lowest polymorph listed for this composition   0.0 kJ per mole of atoms
Mass density   3.6 g cm⁻³
Volume   401 Å³ per cell

Rb2Nb3I9: relaxed, PBE-GGA.

a b c (Å): 11.3129 11.3146 11.3146
angles (deg): 116.55 103.17 103.17
Fractional coordinates of all 28 atoms:
I 0.5000 0.2026 0.7974
Nb 0.6257 0.0403 0.1974
Nb 0.6257 0.1974 0.0403
I 0.8051 0.1173 0.9163
Rb 0.1675 0.5526 0.2347
Rb 0.1675 0.2347 0.5526
I 0.8051 0.9163 0.1173
Nb 0.3743 0.8026 0.9597
I 0.5175 0.3914 0.1875
I 0.1830 0.8981 0.5039
I 0.7774 0.7342 0.7342
I 0.5175 0.1875 0.3914
Nb 0.3884 0.1069 0.1069
Nb 0.3743 0.9597 0.8026
I 0.1830 0.5039 0.8981
I 0.1949 0.0837 0.8827
I 0.4825 0.6086 0.8125
I 0.1949 0.8827 0.0837
Rb 0.8325 0.7653 0.4474
I 0.8238 0.3082 0.3082
I 0.2226 0.2658 0.2658
Nb 0.6116 0.8931 0.8931
I 0.8170 0.1019 0.4961
I 0.8170 0.4961 0.1019
I 0.1762 0.6918 0.6918
Rb 0.8325 0.4474 0.7653
I 0.5000 0.7974 0.2026
I 0.4825 0.8125 0.6086

Computed properties:
Space-group type   No. 12
ΔE_f (raw)   -0.77 eV per atom
Mass density   4.5 g cm⁻³
Volume   1168 Å³ per cell

Rb2NbReI6: relaxed, PBE-GGA.

a b c (Å): 8.0601 8.0601 8.0743
angles (deg): 60.06 60.06 90.00
Last column: magnetic moment on the atom in μB.
Fractional coordinates of all 10 atoms:
I 0.7567 0.7567 0.4866  0.03
I 0.7565 0.2435 0.0000  0.01
Rb 0.2500 0.7500 0.5000  0.00
I 0.2435 0.2435 0.0000  0.01
I 0.7565 0.7565 0.0000  0.01
I 0.2435 0.7565 0.0000  0.01
I 0.2433 0.2433 0.5134  0.03
Rb 0.7500 0.2500 0.5000  0.00
Nb 0.5000 0.5000 0.0000  2.21
Re 0.0000 0.0000 0.0000  0.64

Computed properties:
N(E_F)   12.462 states/eV per cell
Space-group type   No. 139
ΔE_f (raw)   -0.22 eV per atom
Mass density   5.4 g cm⁻³
Volume   372 Å³ per cell

Rb2NbSI6: relaxed, PBE-GGA.

a b c (Å): 9.1125 9.1125 8.4209
angles (deg): 57.24 57.24 90.00
Last column: magnetic moment on the atom in μB.
Fractional coordinates of all 10 atoms:
S 0.5000 0.5000 0.0000  -0.09
I 0.7798 0.2202 0.0000  -0.01
I 0.7798 0.7798 0.0000  -0.01
Rb 0.2500 0.7500 0.5000  0.00
I 0.2587 0.2587 0.4826  -0.03
Rb 0.7500 0.2500 0.5000  0.00
Nb 0.0000 0.0000 0.0000  0.87
I 0.2202 0.7798 0.0000  -0.01
I 0.2202 0.2202 0.0000  -0.01
I 0.7413 0.7413 0.5174  -0.03

Computed properties:
N(E_F)   6.361 states/eV per cell
Space-group type   No. 139
ΔE_f (raw)   -0.56 eV per atom
Mass density   3.9 g cm⁻³
Volume   450 Å³ per cell

Question: Look up the volume of the first one.
Answer: 394 Å³ per cell

What did the fifth record say?
Rb2NbReI6: relaxed, PBE-GGA.

a b c (Å): 8.0601 8.0601 8.0743
angles (deg): 60.06 60.06 90.00
Last column: magnetic moment on the atom in μB.
Fractional coordinates of all 10 atoms:
I 0.7567 0.7567 0.4866  0.03
I 0.7565 0.2435 0.0000  0.01
Rb 0.2500 0.7500 0.5000  0.00
I 0.2435 0.2435 0.0000  0.01
I 0.7565 0.7565 0.0000  0.01
I 0.2435 0.7565 0.0000  0.01
I 0.2433 0.2433 0.5134  0.03
Rb 0.7500 0.2500 0.5000  0.00
Nb 0.5000 0.5000 0.0000  2.21
Re 0.0000 0.0000 0.0000  0.64

Computed properties:
N(E_F)   12.462 states/eV per cell
Space-group type   No. 139
ΔE_f (raw)   -0.22 eV per atom
Mass density   5.4 g cm⁻³
Volume   372 Å³ per cell

Question: Which of these has the lowest volume?
Answer: Rb2NbReI6